[1]
# BaCuMo3

A relaxed BaCuMo3 crystal (PBE-GGA, Alexandria).

Unit cell a=4.833 b=4.833 c=4.833 alpha=90.00 beta=90.00 gamma=90.00
Atoms (fractional coordinates):
Cu  0.000  0.000  0.000
Mo  0.500  0.000  0.000
Ba  0.500  0.500  0.500
Mo  0.000  0.000  0.500
Mo  0.000  0.500  0.000

Results
crystal system = cubic
E_tot = -30.0 eV/f.u.
mass density = 7.2 g/cm³
ΔH_f (0 K) = 1704 meV/atom


[2]
# BaCuMo2

A relaxed BaCuMo2 crystal (PBE-GGA, Alexandria).

Unit cell a=5.880 b=5.880 c=5.880 alpha=147.28 beta=121.13 gamma=69.00
Atoms (fractional coordinates):
Mo  0.017  0.017  0.000
Mo  0.192  0.692  0.500
Cu  0.794  0.294  0.500
Ba  0.497  0.497  0.000

Results
crystal system = orthorhombic
E_tot = -23.8 eV/f.u.
mass density = 7.0 g/cm³
ΔH_f (0 K) = 981 meV/atom


> Among the records above, which one has the lowest ΔH_f (0 K)?

BaCuMo2


> The lowest E_tot belongs to which entry?

BaCuMo3